[1]
Here is TlNi2Ir after structural relaxation from the Alexandria database. Energies are from PBE.

abc: 3.5777 2.8270 6.5047
angles: 64.34 90.00 90.00
With the nearest neighbours (Å) after each atom.
Element x y z (fractional)
Ir (0.5000, 0.7500, 0.7500)  8 Ni 2.60, 2 Ir 2.83
Ni (0.0000, 0.0373, 0.9635)  1 Ni 2.50, 4 Ir 2.60
Ni (0.0000, 0.4627, 0.5365)  1 Ni 2.50, 4 Ir 2.60
Tl (0.5000, 0.2500, 0.2500)  2 Tl 2.83, 8 Ni 2.83, 2 Ir 2.93

Summary:
E_form, eV per atom: 0.295
Excess energy over the best structure of this formula in the dataset, meV per atom: 0

=====

[2]
Here is MnV2AuC after structural relaxation from the Alexandria database. Energies are from PBE.

abc: 4.0241 4.0241 3.9434
angles: 90.00 90.00 90.00
With the nearest neighbours (Å) after each atom.
Element x y z (fractional)
C (0.0000, 0.0000, 0.0000)  2 Mn 1.97, 4 V 2.01
Mn (0.0000, 0.0000, 0.5000)  2 C 1.97
Au (0.5000, 0.5000, 0.5000)  8 V 2.82, 4 Mn 2.85
V (0.0000, 0.5000, 0.0000)  2 C 2.01
V (0.5000, 0.0000, 0.0000)  2 C 2.01

Summary:
E_form, eV per atom: -0.150

=====

[3]
Here is TeMoSeN2 after structural relaxation from the Alexandria database. Energies are from PBE.

abc: 3.8429 3.8429 7.0880
angles: 90.00 90.00 90.00
With the nearest neighbours (Å) after each atom.
Element x y z (fractional)
Mo (0.5000, 0.5000, 0.5000)  4 Te 2.72
Te (0.0000, 0.0000, 0.5000)  4 Mo 2.72
Se (0.0000, 0.0000, 0.0000)  4 N 1.92
N (0.0000, 0.5000, 0.0000)  2 Se 1.92
N (0.5000, 0.0000, 0.0000)  2 Se 1.92

Summary:
Raw formation energy, eV/atom: 1.877
Excess energy over the best structure of this formula in the dataset, meV per atom: 1322

=====

[4]
Here is ZrIn2Tc after structural relaxation from the Alexandria database. Energies are from PBE.

abc: 3.2880 3.2880 7.2902
angles: 90.00 90.00 90.00
With the nearest neighbours (Å) after each atom.
Element x y z (fractional)
In (0.0000, 0.0000, 0.0316)  4 Tc 2.82, 4 Zr 3.10
In (0.0000, 0.0000, 0.4684)  4 Tc 2.82, 4 Zr 3.10
Tc (0.5000, 0.5000, 0.2500)  8 In 2.82
Zr (0.5000, 0.5000, 0.7500)  8 In 3.10, 4 Zr 3.29

Summary:
E_form, eV per atom: 0.060
Excess energy over the best structure of this formula in the dataset, meV per atom: 118

=====

[5]
Here is ZrZn2Ga2 after structural relaxation from the Alexandria database. Energies are from PBE.

abc: 7.4676 7.4676 3.0824
angles: 90.00 90.00 90.00
With the nearest neighbours (Å) after each atom.
Element x y z (fractional)
Zn (0.3790, 0.8790, 0.0000)  1 Zn 2.56, 6 Ga 2.61-2.76
Zn (0.8790, 0.6210, 0.0000)  1 Zn 2.56, 6 Ga 2.61-2.76
Zn (0.6210, 0.1210, 0.0000)  1 Zn 2.56, 6 Ga 2.61-2.76
Zn (0.1210, 0.3790, 0.0000)  1 Zn 2.56, 6 Ga 2.61-2.76
Ga (0.1792, 0.6792, 0.5000)  6 Zn 2.61-2.76
Ga (0.6792, 0.8208, 0.5000)  6 Zn 2.61-2.76
Ga (0.8208, 0.3208, 0.5000)  6 Zn 2.61-2.76
Ga (0.3208, 0.1792, 0.5000)  6 Zn 2.61-2.76
Zr (0.0000, 0.0000, 0.0000)  4 Zn 2.97, 2 Zr 3.08, 8 Ga 3.15
Zr (0.5000, 0.5000, 0.0000)  4 Zn 2.97, 2 Zr 3.08, 8 Ga 3.15

Summary:
E_form, eV per atom: -0.164
Excess energy over the best structure of this formula in the dataset, meV per atom: 64

=====

[6]
Here is Li2AcLa2In2 after structural relaxation from the Alexandria database. Energies are from PBE.

abc: 4.9888 4.9888 9.9495
angles: 75.48 75.48 60.00
With the nearest neighbours (Å) after each atom.
Element x y z (fractional)
Li (0.5883, 0.5883, 0.2351)  3 In 2.88
Li (0.4117, 0.4117, 0.7649)  3 In 2.88
Ac (0.0000, 0.0000, 0.0000)  6 In 3.59, 6 Li 3.65, 2 La 3.89
La (0.1361, 0.1361, 0.5918)  3 Li 3.32, 4 In 3.37-3.50, 3 La 3.37
La (0.8639, 0.8639, 0.4082)  3 Li 3.32, 4 In 3.37-3.50, 3 La 3.37
In (0.7416, 0.7416, 0.7753)  3 Li 2.88
In (0.2584, 0.2584, 0.2247)  3 Li 2.88

Summary:
E_form, eV per atom: -0.275

=====

Table of total energy (Ry per atom), in record order: -0.3971, -0.5977, -0.3634, -0.4438, -0.2642, -0.2645
Table of M_tot (μB/f.u.), in record order: 0.0, 1.0, 2.9, 0.0, 0.0, 0.0
Table of D(E_F) (states/eV/f.u.), in record order: 5.12, 4.35, 3.02, 2.79, 1.84, 5.32